[1]
First-principles (PBE-GGA) data for an optimized crystal structure of Cs2RbCd4, as listed in the Alexandria database.

Cell lengths 7.208, 9.094, 10.170 Å; angles 116.56, 90.05, 90.00 degrees
Atoms (fractional coordinates):
Cd  0.750  0.656  0.835
Cd  0.750  0.820  0.165
Cd  0.250  0.180  0.835
Cd  0.000  0.086  0.172
Cd  0.250  0.344  0.165
Cd  0.000  0.914  0.828
Cd  0.500  0.914  0.828
Cd  0.500  0.086  0.172
Cs  0.250  0.858  0.425
Cs  0.750  0.142  0.575
Cs  0.250  0.433  0.575
Cs  0.750  0.567  0.425
Rb  0.750  0.341  0.000
Rb  0.250  0.659  0.000

***

[2]
First-principles (PBE-GGA) data for an optimized crystal structure of Cs2RbCd2, as listed in the Alexandria database.

Cell lengths 6.204, 6.204, 9.000 Å; angles 69.84, 69.84, 90.00 degrees
Atoms (fractional coordinates):
Cs  0.250  0.750  0.500
Cs  0.750  0.250  0.500
Cd  0.408  0.408  0.184
Cd  0.592  0.592  0.816
Rb  0.000  0.000  0.000

***

Per-record N(E_F), states/eV per cell: 9.35 6.05
Per-record total energy, Ry per atom: -0.070 -0.064